## Ca8Al2Cd (PBE)

Data for Ca8Al2Cd after structural relaxation.

Calculated values
Density = 2.2 Mg/m³
DOS at the Fermi energy = 13.4 states/eV/cell
DFT total energy = -52.53 eV per cell
Formation enthalpy at 0 K = -169 meV/atom
Spin magnetization = 0.000 μB/f.u.

Lattice parameters (Å, degrees): 18.9021 5.3552 7.6301 90.00 110.42 90.00
Space group C2/m (No. 12)
One atom of each set of equivalent atoms:
Ca 0.0274 0.0000 0.2784 (multiplicity 4)
Ca 0.1000 0.5000 0.9570 (multiplicity 4)
Ca 0.1693 0.5000 0.4535 (multiplicity 4)
Ca 0.1986 0.0000 0.7977 (multiplicity 4)
Al 0.1807 0.0000 0.1945 (multiplicity 4)
Cd 0.0000 0.5000 0.5000 (multiplicity 2)